# 1
This record from Alexandria via LeMat-Bulk describes a relaxed Nb3InH crystal. The functional is GGA-PBE.

Values from the calculation:
The total energy comes out at -6.119 eV per atom. The crystal system is tetragonal.

Cell: 4.788 4.788 11.336 Å, 77.81 77.81 90.00°
Positions (direct):
1 H 0.855 0.355 0.290
2 H 0.645 0.145 0.710
3 Nb 0.133 0.873 0.255
4 Nb 0.330 0.330 0.341
5 Nb 0.670 0.670 0.659
6 Nb 0.127 0.388 0.745
7 Nb 0.127 0.867 0.745
8 Nb 0.612 0.873 0.255
9 In 0.000 0.000 0.000
10 In 0.250 0.750 0.500

---

# 2
This record from Alexandria via LeMat-Bulk describes a relaxed YMg6Ni crystal. The functional is GGA-PBE.

Values from the calculation:
For the polymorph energy (0 for the lowest one), the calculation gives 4 meV per atom. The total energy comes out at -2.713 eV per atom. For the formation enthalpy at 0 K, the calculation gives 0.1 eV/f.u. The crystal system is orthorhombic.

Cell: 6.636 6.636 4.824 Å, 90.00 90.00 124.55°
Positions (direct):
1 Mg 0.675 0.822 0.000
2 Mg 0.810 0.686 0.500
3 Mg 0.655 0.345 0.000
4 Mg 0.314 0.190 0.500
5 Mg 0.178 0.325 0.000
6 Mg 0.813 0.187 0.500
7 Ni 0.355 0.645 0.500
8 Y 0.201 0.799 0.000

---

# 3
This record from Alexandria via LeMat-Bulk describes a relaxed CoReSe2 crystal. The functional is GGA-PBE.

Values from the calculation:
For the polymorph energy (0 for the lowest one), the calculation gives 212 meV per atom. The total energy comes out at -6.505 eV per atom. The crystal system is trigonal.

Cell: 9.492 9.492 9.492 Å, 18.72 18.72 18.72°
Last column: magnetic moment on the atom in μB.
Positions (direct):
1 Se 0.028 0.028 0.028  0.00
2 Se 0.217 0.217 0.217  0.00
3 Re 0.755 0.755 0.755  0.02
4 Co 0.501 0.501 0.501  0.08

---

# 4
This record from Alexandria via LeMat-Bulk describes a relaxed Ce4PaH10 crystal. The functional is GGA-PBE.

Values from the calculation:
The total energy comes out at -4.927 eV per atom. The crystal system is tetragonal.

Cell: 5.380 6.618 6.618 Å, 80.49 66.02 66.02°
Last column: magnetic moment on the atom in μB.
Positions (direct):
1 Ce 0.601 0.198 0.599  0.70
2 Ce 0.399 0.802 0.401  0.70
3 Ce 0.799 0.599 0.802  0.70
4 Ce 0.201 0.401 0.198  0.70
5 H 0.750 0.500 0.500  0.00
6 H 0.854 0.710 0.098  0.00
7 H 0.952 0.902 0.710  0.00
8 H 0.048 0.098 0.290  0.00
9 H 0.146 0.290 0.902  0.00
10 H 0.662 0.290 0.902  0.00
11 H 0.250 0.500 0.500  0.00
12 H 0.436 0.902 0.710  0.00
13 H 0.564 0.098 0.290  0.00
14 H 0.338 0.710 0.098  0.00
15 Pa 0.000 0.000 0.000  0.54

---

# 5
This record from Alexandria via LeMat-Bulk describes a relaxed Pr3TlBi crystal. The functional is GGA-PBE.

Values from the calculation:
The total energy comes out at -4.589 eV per atom. For the formation enthalpy at 0 K, the calculation gives -2.4 eV/f.u. The crystal system is monoclinic.

Cell: 9.189 8.648 8.648 Å, 88.43 90.01 90.01°
Positions (direct):
1 Pr 0.583 0.806 0.008
2 Pr 0.417 0.507 0.306
3 Pr 0.583 0.493 0.694
4 Pr 0.176 0.570 0.930
5 Pr 0.676 0.930 0.570
6 Pr 0.417 0.194 0.992
7 Pr 0.824 0.430 0.070
8 Pr 0.917 0.306 0.507
9 Pr 0.083 0.694 0.493
10 Pr 0.083 0.008 0.806
11 Pr 0.917 0.992 0.194
12 Pr 0.324 0.070 0.430
13 Tl 0.366 0.801 0.700
14 Tl 0.634 0.199 0.300
15 Tl 0.866 0.700 0.801
16 Tl 0.134 0.300 0.199
17 Bi 0.250 0.848 0.152
18 Bi 0.250 0.348 0.652
19 Bi 0.750 0.652 0.348
20 Bi 0.750 0.152 0.848

---

# 6
This record from Alexandria via LeMat-Bulk describes a relaxed TiCo3H crystal. The functional is GGA-PBE.

Values from the calculation:
For the polymorph energy (0 for the lowest one), the calculation gives 342 meV per atom. The total energy comes out at -6.446 eV per atom. The crystal system is cubic.

Cell: 6.701 6.701 6.701 Å, 60.00 60.00 60.00°
Last column: magnetic moment on the atom in μB.
Positions (direct):
1 Co 0.061 0.061 0.439  0.63
2 Co 0.811 0.811 0.189  0.59
3 Co 0.189 0.811 0.811  0.60
4 Co 0.061 0.439 0.439  0.60
5 Co 0.439 0.439 0.061  0.59
6 Co 0.189 0.811 0.189  0.59
7 Co 0.189 0.189 0.811  0.63
8 Co 0.439 0.061 0.061  0.58
9 Co 0.811 0.189 0.811  0.59
10 Co 0.439 0.061 0.439  0.59
11 Co 0.061 0.439 0.061  0.59
12 Co 0.811 0.189 0.189  0.58
13 Ti 0.625 0.625 0.625  -0.25
14 Ti 0.125 0.625 0.625  -0.29
15 Ti 0.625 0.125 0.625  -0.26
16 Ti 0.625 0.625 0.125  -0.25
17 H 0.625 0.125 0.125  -0.01
18 H 0.125 0.625 0.125  -0.01
19 H 0.125 0.125 0.625  -0.01
20 H 0.125 0.125 0.125  -0.01

---

# 7
This record from Alexandria via LeMat-Bulk describes a relaxed TiF4 crystal. The functional is GGA-PBE.

Values from the calculation:
For the polymorph energy (0 for the lowest one), the calculation gives 63 meV per atom. The total energy comes out at -6.361 eV per atom. The crystal system is tetragonal.

Cell: 3.927 3.927 5.234 Å, 112.03 112.03 90.00°
Positions (direct):
1 F 0.202 0.202 0.405
2 F 0.000 0.500 0.000
3 F 0.500 0.000 0.000
4 F 0.798 0.798 0.595
5 Ti 0.000 0.000 0.000

---

# 8
This record from Alexandria via LeMat-Bulk describes a relaxed CaDy2Zn2Ga2 crystal. The functional is GGA-PBE.

Values from the calculation:
The total energy comes out at -3.213 eV per atom. For the formation enthalpy at 0 K, the calculation gives -2.7 eV/f.u. The crystal system is trigonal.

Cell: 4.493 4.493 9.624 Å, 76.50 76.50 60.00°
Positions (direct):
1 Zn 0.594 0.594 0.219
2 Zn 0.406 0.406 0.781
3 Ga 0.256 0.256 0.232
4 Ga 0.744 0.744 0.768
5 Ca 0.000 0.000 0.000
6 Dy 0.128 0.128 0.617
7 Dy 0.872 0.872 0.383

---

# 9
This record from Alexandria via LeMat-Bulk describes a relaxed KDyCuTe2 crystal. The functional is GGA-PBE.

Values from the calculation:
The total energy comes out at -3.976 eV per atom. The crystal system is monoclinic.

Cell: 4.582 8.469 8.621 Å, 96.92 90.00 90.00°
Positions (direct):
1 Te 0.334 0.240 0.027
2 Te 0.666 0.240 0.527
3 Te 0.666 0.760 0.973
4 Te 0.334 0.760 0.473
5 K 0.151 0.500 0.750
6 K 0.849 0.500 0.250
7 Cu 0.000 0.000 0.500
8 Cu 0.000 0.000 0.000
9 Dy 0.495 0.000 0.250
10 Dy 0.505 0.000 0.750

---

# 10
This record from Alexandria via LeMat-Bulk describes a relaxed FeCo2Mo crystal. The functional is GGA-PBE.

Values from the calculation:
For the polymorph energy (0 for the lowest one), the calculation gives 116 meV per atom. The total energy comes out at -8.245 eV per atom. For the formation enthalpy at 0 K, the calculation gives 0.5 eV/f.u. The crystal system is orthorhombic.

Cell: 2.567 2.567 7.890 Å, 90.00 90.00 105.27°
Last column: magnetic moment on the atom in μB.
Positions (direct):
1 Mo 0.500 0.500 0.750  -0.02
2 Co 0.000 0.000 0.485  1.51
3 Co 0.000 0.000 0.015  1.51
4 Fe 0.500 0.500 0.250  2.68

---

# 11
This record from Alexandria via LeMat-Bulk describes a relaxed Ca2MgSe crystal. The functional is GGA-PBE.

Values from the calculation:
For the polymorph energy (0 for the lowest one), the calculation gives 219 meV per atom. The total energy comes out at -2.938 eV per atom. The crystal system is tetragonal.

Cell: 8.372 8.372 7.009 Å, 53.33 53.33 90.00°
Positions (direct):
1 Se 0.750 0.250 0.500
2 Se 0.000 0.000 0.000
3 Ca 0.875 0.924 0.750
4 Ca 0.375 0.326 0.750
5 Ca 0.076 0.625 0.250
6 Ca 0.674 0.125 0.250
7 Mg 0.250 0.750 0.500
8 Mg 0.500 0.500 0.000

---

# 12
This record from Alexandria via LeMat-Bulk describes a relaxed SrCdAg2 crystal. The functional is GGA-PBE.

Values from the calculation:
The total energy comes out at -2.225 eV per atom. For the formation enthalpy at 0 K, the calculation gives -0.6 eV/f.u. The crystal system is orthorhombic.

Cell: 3.684 3.711 8.079 Å, 62.64 90.00 90.00°
Positions (direct):
1 Sr 0.500 0.750 0.750
2 Ag 0.000 0.954 0.045
3 Ag 0.000 0.546 0.455
4 Cd 0.500 0.250 0.250